Entry 1:
Below is a geometry-optimized BaTeCl structure, with properties calculated at the PBE-GGA level.

DFT total energy (eV per atom): -3.88
Crystal system: monoclinic
DOS(E_F) (states/eV per atom): 0.572

```
data_BaTeCl
_cell_length_a 5.932
_cell_length_b 6.586
_cell_length_c 10.352
_cell_angle_alpha 90.00
_cell_angle_beta 90.06
_cell_angle_gamma 90.00
_space_group_name_H-M_alt 'C 1 2/m 1'
_space_group_IT_number 12
_space_group_name_Hall '-C 2y'
loop_
_atom_site_label
_atom_site_fract_x
_atom_site_fract_y
_atom_site_fract_z
Ba1 0.250 0.000 0.223
Te1 0.249 0.500 0.446
Cl1 0.250 0.000 0.904
```


Entry 2:
Below is a geometry-optimized BaTe4Cl structure, with properties calculated at the PBE-GGA level.

DFT total energy (eV per atom): -3.33
Crystal system: cubic
DOS(E_F) (states/eV per atom): 1.483

```
data_BaTe4Cl
_cell_length_a 9.158
_cell_length_b 9.158
_cell_length_c 9.158
_cell_angle_alpha 90.00
_cell_angle_beta 90.00
_cell_angle_gamma 90.00
_space_group_name_H-M_alt 'F -4 3 m'
_space_group_IT_number 216
_space_group_name_Hall 'F -4 2 3'
loop_
_atom_site_label
_atom_site_fract_x
_atom_site_fract_y
_atom_site_fract_z
Ba1 0.000 0.000 0.000
Te1 0.125 0.125 0.375
Cl1 0.250 0.250 0.750
```


Entry 3:
Below is a geometry-optimized Ba3TeCl3 structure, with properties calculated at the PBE-GGA level.

DFT total energy (eV per atom): -4.17
Crystal system: trigonal

```
data_Ba3TeCl3
_cell_length_a 8.8451
_cell_length_b 8.8451
_cell_length_c 25.1512
_cell_angle_alpha 90.00
_cell_angle_beta 90.00
_cell_angle_gamma 120.00
_space_group_name_H-M_alt 'R -3'
_space_group_IT_number 148
_space_group_name_Hall '-R 3'
loop_
_atom_site_label
_atom_site_fract_x
_atom_site_fract_y
_atom_site_fract_z
Ba1 0.9997 0.3326 0.0794
Te1 0.0000 0.0000 0.3333
Cl1 0.0015 0.6661 0.7905
```


Entry 4:
Below is a geometry-optimized BaTeCl structure, with properties calculated at the PBE-GGA level.

DFT total energy (eV per atom): -3.56
Crystal system: cubic
DOS(E_F) (states/eV per atom): 1.486

```
data_BaTeCl
_cell_length_a 7.655
_cell_length_b 7.655
_cell_length_c 7.655
_cell_angle_alpha 90.00
_cell_angle_beta 90.00
_cell_angle_gamma 90.00
_space_group_name_H-M_alt 'F -4 3 m'
_space_group_IT_number 216
_space_group_name_Hall 'F -4 2 3'
loop_
_atom_site_label
_atom_site_fract_x
_atom_site_fract_y
_atom_site_fract_z
Ba1 0.000 0.000 0.000
Te1 0.000 0.000 0.500
Cl1 0.250 0.250 0.750
```


Entry 5:
Below is a geometry-optimized BaTeCl2 structure, with properties calculated at the PBE-GGA level.

Relative energy among the computed polymorphs (meV per atom): 139
Crystal system: orthorhombic
DOS(E_F) (states/eV per atom): 0.271

```
data_BaTeCl2
_cell_length_a 7.491
_cell_length_b 7.495
_cell_length_c 9.837
_cell_angle_alpha 90.00
_cell_angle_beta 90.00
_cell_angle_gamma 90.00
_space_group_name_H-M_alt 'F m m m'
_space_group_IT_number 69
_space_group_name_Hall '-F 2 2'
loop_
_atom_site_label
_atom_site_fract_x
_atom_site_fract_y
_atom_site_fract_z
Ba1 0.000 0.000 0.000
Te1 0.000 0.000 0.500
Cl1 0.000 0.250 0.250
```


Entry 6:
Below is a geometry-optimized BaTe3Cl structure, with properties calculated at the PBE-GGA level.

Relative energy among the computed polymorphs (meV per atom): 660
Crystal system: cubic
DOS(E_F) (states/eV per atom): 0.818

```
data_BaTe3Cl
_cell_length_a 6.829
_cell_length_b 6.829
_cell_length_c 6.829
_cell_angle_alpha 90.00
_cell_angle_beta 90.00
_cell_angle_gamma 90.00
_space_group_name_H-M_alt 'P m -3 m'
_space_group_IT_number 221
_space_group_name_Hall '-P 4 2 3'
loop_
_atom_site_label
_atom_site_fract_x
_atom_site_fract_y
_atom_site_fract_z
Ba1 0.000 0.000 0.000
Te1 0.000 0.000 0.500
Cl1 0.500 0.500 0.500
```


Entry 7:
Below is a geometry-optimized BaTeCl structure, with properties calculated at the PBE-GGA level.

DFT total energy (eV per atom): -3.71
Crystal system: trigonal
DOS(E_F) (states/eV per atom): 1.436

```
data_BaTeCl
_cell_length_a 5.2317
_cell_length_b 5.2317
_cell_length_c 4.8371
_cell_angle_alpha 90.00
_cell_angle_beta 90.00
_cell_angle_gamma 120.00
_space_group_name_H-M_alt 'P 3 m 1'
_space_group_IT_number 156
_space_group_name_Hall 'P 3 -2"'
loop_
_atom_site_label
_atom_site_fract_x
_atom_site_fract_y
_atom_site_fract_z
Ba1 0.0000 0.0000 0.0000
Te1 0.3333 0.6667 0.4989
Cl1 0.6667 0.3333 0.9987
```


Entry 8:
Below is a geometry-optimized BaTeCl2 structure, with properties calculated at the PBE-GGA level.

Relative energy among the computed polymorphs (meV per atom): 131
Crystal system: tetragonal
DOS(E_F) (states/eV per atom): 0.636

```
data_BaTeCl2
_cell_length_a 3.693
_cell_length_b 3.693
_cell_length_c 11.876
_cell_angle_alpha 90.00
_cell_angle_beta 90.00
_cell_angle_gamma 90.00
_space_group_name_H-M_alt 'P 4/m m m'
_space_group_IT_number 123
_space_group_name_Hall '-P 4 2'
loop_
_atom_site_label
_atom_site_fract_x
_atom_site_fract_y
_atom_site_fract_z
Ba1 0.000 0.000 0.000
Te1 0.000 0.000 0.500
Cl1 0.500 0.500 0.145
```